The following is a GGA-PBE calculation of KPmCl4 after structural relaxation, from the Alexandria database.

a b c (Å): 8.143 8.143 8.143
angles (deg): 108.40 108.40 111.63
Fractional coordinates of all 12 atoms:
K  0.000  0.000  0.000
K  0.750  0.250  0.500
Pm  0.264  0.764  0.500
Pm  0.514  0.514  0.000
Cl  0.235  0.532  0.703
Cl  0.282  0.080  0.797
Cl  0.282  0.485  0.203
Cl  0.282  0.971  0.310
Cl  0.661  0.971  0.690
Cl  0.721  0.532  0.810
Cl  0.721  0.911  0.190
Cl  0.830  0.532  0.297

Computed properties:
Formation energy without anion corrections, eV/f.u.: -12.9
Spin magnetization, μB/atom: 0.0000
Energy above the most stable polymorph in this dataset, eV per atom: 0.023